No. 1
Computed, not measured: a relaxed structure of DyTh3Pb5 at the GGA-PBE level of DFT.

Results
- Uncorrected energy: -48.6 eV/f.u.
- Energy relative to the elements: -0.3566 eV/atom

Structure (extended XYZ):
```
18
Lattice="-1.144 1.169 6.363 -6.477 -7.266 0.170 9.358 -1.774 2.009" Properties=species:S:1:pos:R:3 pbc="T T T"
Dy 0.000 0.000 0.000
Dy -0.572 0.585 3.181
Th -3.345 -1.912 4.837
Th 0.917 -4.692 6.115
Th 2.734 0.196 5.543
Th -4.276 -4.184 1.695
Th 0.820 -3.178 2.427
Th 5.480 -0.800 2.828
Pb 4.080 -3.604 1.396
Pb -1.770 -4.850 3.964
Pb -1.198 -5.435 0.783
Pb 3.508 -3.020 4.577
Pb -5.537 -4.372 4.895
Pb -0.058 -1.633 5.377
Pb 5.902 -0.404 6.223
Pb -2.084 -1.725 1.638
Pb 1.796 -6.238 3.165
Pb 2.312 -0.200 2.148
```

=====

No. 2
Computed, not measured: a relaxed structure of La8Pm2Zn at the GGA-PBE level of DFT.

Results
- Uncorrected energy: -50.4 eV/f.u.
- Energy relative to the elements: -0.0223 eV/atom

Structure (extended XYZ):
```
11
Lattice="5.592 0.000 -1.605 -0.109 6.605 -0.380 -0.049 -0.054 10.371" Properties=species:S:1:pos:R:3 pbc="T T T"
La 2.268 2.524 7.899
La 3.637 0.802 2.126
La 4.669 1.296 5.721
La 5.254 4.905 7.759
La 0.765 5.255 2.664
La 1.797 5.749 6.260
La 3.166 4.027 0.486
La 0.180 1.646 0.626
Pm 4.168 4.386 3.976
Pm 1.266 2.166 4.410
Zn 2.796 0.000 -0.803
```

=====

No. 3
Computed, not measured: a relaxed structure of Re2SbOs at the GGA-PBE level of DFT.

Results
- Uncorrected energy: -36.9 eV/f.u.

Structure (extended XYZ):
```
4
Lattice="2.835 0.015 0.000 -1.314 2.512 0.000 0.000 0.000 9.582" Properties=species:S:1:pos:R:3 pbc="T T T"
Os 0.760 1.264 7.397
Re 0.000 0.000 9.572
Re 0.760 1.264 2.149
Sb 0.000 0.000 4.839
```

=====

No. 4
Computed, not measured: a relaxed structure of Ti3Cu3N at the GGA-PBE level of DFT.

Results
- Uncorrected energy: -48.7 eV/f.u.

Structure (extended XYZ):
```
28
Lattice="6.876 0.000 3.970 2.292 6.483 3.970 0.000 0.000 7.940" Properties=species:S:1:pos:R:3 pbc="T T T"
Ti 1.441 2.824 2.496
Ti 1.702 1.203 7.940
Ti 7.467 5.280 7.940
Ti 6.025 1.203 10.436
Ti 6.025 1.203 5.444
Ti 3.143 5.280 10.436
Ti 3.143 0.417 2.496
Ti 0.590 0.417 3.970
Ti 3.994 2.824 3.970
Ti 1.441 2.824 5.444
Ti 3.143 5.280 5.444
Ti 3.143 0.417 5.444
Cu 7.647 5.408 13.246
Cu 3.813 2.696 9.276
Cu 4.584 4.877 7.940
Cu 6.127 2.696 7.940
Cu 6.876 3.226 11.910
Cu 5.334 5.408 11.910
Cu 7.647 5.408 10.574
Cu 3.813 2.696 6.604
Cu 5.730 4.052 9.925
Cu 5.730 4.052 5.955
Cu 4.584 0.810 7.940
Cu 2.292 4.052 7.940
N 1.146 0.810 1.985
N 1.146 0.810 5.955
N 2.292 4.052 3.970
N 4.584 0.810 3.970
```

=====

No. 5
Computed, not measured: a relaxed structure of Ac3Sn2N at the GGA-PBE level of DFT.

Results
- Excess energy over the best structure of this formula in the dataset: 205 meV per atom
- Uncorrected energy: -32.3 eV/f.u.

Structure (extended XYZ):
```
12
Lattice="-0.318 -0.222 -3.847 6.553 -0.894 -0.490 -1.964 -14.951 1.025" Properties=species:S:1:pos:R:3 pbc="T T T"
Ac 0.000 0.000 0.000
Ac 2.135 -8.034 -1.656
Ac 2.879 -2.365 -2.045
Ac 1.392 -13.703 -1.267
Ac -1.218 -9.283 0.636
Ac 5.807 -6.563 -0.101
Sn 6.032 -3.746 -2.226
Sn 1.936 -10.664 0.455
Sn 2.653 -5.182 0.080
Sn -1.761 -12.322 -1.086
N 3.276 -0.447 -0.245
N -1.141 -7.587 -1.411
```

=====

No. 6
Computed, not measured: a relaxed structure of Ca3AcPt2 at the GGA-PBE level of DFT.

Results
- Excess energy over the best structure of this formula in the dataset: 97 meV per atom
- Uncorrected energy: -26.4 eV/f.u.
- Energy relative to the elements: -0.6943 eV/atom

Structure (extended XYZ):
```
12
Lattice="-6.821 1.582 -1.144 -1.895 -3.689 6.199 5.110 7.034 1.261" Properties=species:S:1:pos:R:3 pbc="T T T"
Ca -3.884 -0.131 0.978
Ca -4.832 -1.976 4.077
Ca -2.549 4.803 -0.165
Ca -0.110 1.969 3.381
Ca -1.058 0.125 6.481
Ca -3.496 2.958 2.935
Ac -0.947 -1.844 3.100
Ac 0.000 0.000 0.000
Pt -0.923 4.667 2.495
Pt -4.670 2.786 0.230
Pt 1.064 2.142 6.086
Pt -2.683 0.261 3.822
```